! PaZn2PbO8 GGA-PBE relaxed; values from VASP
! Space-group type: I-4m2
! DFT total energy (eV/atom): -6.008
&SYSTEM
  ibrav = 0, nat = 12, ntyp = 4
/
ATOMIC_SPECIES
O 16.00 O.upf
Pa 231.04 Pa.upf
Zn 65.41 Zn.upf
Pb 207.20 Pb.upf
ATOMIC_POSITIONS angstrom
O 0.553 0.162 -5.177
O -1.828 -0.094 -1.076
O -2.190 1.276 -4.137
O 0.798 -1.150 -2.004
O -4.297 -0.234 -1.978
O -3.555 -2.400 0.169
O -2.018 -1.350 -4.200
O -1.297 -3.444 -2.210
Pa 0.000 0.000 0.000
Zn -2.583 -0.100 -2.848
Zn 1.220 0.162 -3.361
Pb 0.833 -3.315 -1.763
CELL_PARAMETERS angstrom
-2.196 3.376 -4.446
4.635 -3.053 -2.276
-4.190 -3.739 2.112